[1]
PBE-GGA SrCa2Zn2, optimized geometry; space group = P4/mbm, No. 127; formation enthalpy at 0 K = -0.104 eV/atom; offset from the most stable computed form = 0.0907 eV per atom
1.0
8.997 0.000 0.000
0.000 8.997 0.000
0.000 0.000 3.558
Sr Ca Zn
2 4 4
Direct
0.000 0.000 0.000
0.500 0.500 0.000
0.132 0.368 0.000
0.368 0.868 0.000
0.632 0.132 0.000
0.868 0.632 0.000
0.164 0.664 0.500
0.336 0.164 0.500
0.664 0.836 0.500
0.836 0.336 0.500

---

[2]
PBE-GGA CaSbPb2O8, optimized geometry; space group = Cmmm, No. 65; uncorrected formation energy = -1.26 eV/atom
1.0
3.490 -3.578 0.000
3.490 3.578 0.000
0.000 0.000 6.893
Ca Sb Pb O
1 1 2 8
Direct
0.000 0.000 0.000
0.000 0.000 0.500
0.500 0.500 0.252
0.500 0.500 0.748
0.188 0.188 0.281
0.188 0.188 0.719
0.290 0.710 0.500
0.315 0.685 0.000
0.685 0.315 0.000
0.710 0.290 0.500
0.812 0.812 0.281
0.812 0.812 0.719

---

[3]
PBE-GGA MgSiO6F6, optimized geometry; space group = P2_1/c, No. 14; uncorrected formation energy = -1.74 eV/atom; offset from the most stable computed form = 0.0000 eV per atom
1.0
5.706 0.000 0.000
0.000 13.192 0.000
-4.814 0.000 5.668
Mg Si O F
2 2 12 12
Direct
0.000 0.000 0.000
0.000 0.500 0.500
0.500 0.000 0.500
0.500 0.500 0.000
0.028 0.240 0.480
0.028 0.260 0.980
0.206 0.207 0.683
0.206 0.293 0.183
0.391 0.028 0.963
0.391 0.472 0.463
0.609 0.528 0.537
0.609 0.972 0.037
0.794 0.707 0.817
0.794 0.793 0.317
0.972 0.740 0.020
0.972 0.760 0.520
0.203 0.083 0.285
0.203 0.417 0.785
0.280 0.545 0.051
0.280 0.955 0.551
0.330 0.586 0.762
0.330 0.914 0.262
0.670 0.086 0.738
0.670 0.414 0.238
0.720 0.045 0.449
0.720 0.455 0.949
0.797 0.583 0.215
0.797 0.917 0.715